Record 1
4
Lattice="-8.8853 -2.1126 3.2438 -7.6480 -5.6060 2.0034 -6.6525 -4.3305 5.5609" Properties=species:S:1:pos:R:3 comment="SrYCl2 (PBE, optimized geometry)" volume_a3_per_atom=31.2 de_polymorph_ev_per_atom=0.106 total_energy_ev_per_cell=-17.34 e_form_raw_mev_per_atom=-1375 pbc="T T T"
Y 0.0000 0.0000 0.0000
Sr -11.5929 -6.0245 5.4040
Cl -20.9484 -10.8864 9.7651
Cl -2.2374 -1.1627 1.0429

---

Record 2
12
Lattice="-2.1135 3.0743 -1.1794 -6.8615 -4.3927 0.8456 2.0357 2.1757 8.5139" Properties=species:S:1:pos:R:3 comment="Tb6TeC2Se3 (PBE, optimized geometry)" volume_a3_per_atom=22.9 total_energy_ev_per_cell=-75.09 e_form_raw_mev_per_atom=-1272 pbc="T T T"
Se -4.4875 -0.6592 -0.1669
C -4.9414 1.0730 5.1620
Tb -5.0702 1.8685 7.4665
Te -1.0568 1.5372 -0.5897
Tb -5.2959 -1.4049 5.8283
Se -5.4186 -2.4879 3.2252
Se -1.5207 3.3452 4.9550
Tb -4.5673 0.3965 2.7281
Tb -1.8691 -1.0112 0.7137
Tb -1.6434 2.2623 2.3519
Tb -2.3720 0.4609 5.4521
C -1.9979 -0.2156 3.0182

---

Record 3
4
Lattice="-0.8339 0.9185 -2.6605 1.3749 -2.5932 -0.0494 -8.6615 -4.6136 1.1222" Properties=species:S:1:pos:R:3 comment="InHgW2 (PBE, optimized geometry)" volume_a3_per_atom=19.6 de_polymorph_ev_per_atom=0.005 total_energy_ev_per_cell=-26.95 pbc="T T T"
Hg -4.1761 -2.2244 0.5411
W -0.1970 -0.1049 0.0255
In -6.3936 -4.3870 -0.4915
W -1.6847 -1.8788 -1.1016

---

Record 4
8
Lattice="2.5890 0.0000 0.0000 0.0000 4.8332 0.0000 0.0000 0.0000 6.2513" Properties=species:S:1:pos:R:3 comment="Ni3C (PBE, optimized geometry)" volume_a3_per_atom=9.8 de_polymorph_ev_per_atom=0.192 total_energy_ev_per_cell=-51.11 pbc="T T T"
C 1.2945 2.4166 4.4520
Ni 0.0000 2.4166 2.9865
Ni 0.0000 1.2011 5.1695
Ni 1.2945 0.0000 3.2648
Ni 1.2945 3.6177 1.0818
C 0.0000 0.0000 1.7993
Ni 1.2945 1.2155 1.0818
Ni 0.0000 3.6321 5.1695

---

Record 5
4
Lattice="6.0075 -0.0161 -0.0039 3.0392 5.1821 0.0039 -3.8123 -3.8282 2.6271" Properties=species:S:1:pos:R:3 comment="BaAgRu2 (PBE, optimized geometry)" volume_a3_per_atom=20.5 de_polymorph_ev_per_atom=0.652 total_energy_ev_per_cell=-19.52 pbc="T T T"
Ag 3.3593 -0.6307 1.3116
Ru 4.7023 2.6851 0.0000
Ba 1.8752 1.9684 1.3155
Ru 8.8679 5.0638 0.0000

---

Record 6
5
Lattice="5.4523 0.0000 0.0000 0.0000 5.4523 0.0000 0.0000 0.0000 3.8754" Properties=species:S:1:pos:R:3 comment="LiScI2N (PBE, optimized geometry)" volume_a3_per_atom=23.0 de_polymorph_ev_per_atom=0.759 total_energy_ev_per_cell=-18.44 e_form_raw_mev_per_atom=246 pbc="T T T"
Sc 2.7262 2.7262 1.9377
Li 0.0000 0.0000 0.0000
N 0.0000 0.0000 1.9377
I 2.7262 0.0000 0.0000
I 0.0000 2.7262 0.0000

---

Record 7
10
Lattice="-6.5606 0.5404 -5.3117 -1.4783 -8.2700 0.9845 -7.6452 -2.6691 2.4364" Properties=species:S:1:pos:R:3 comment="Cs2SrTlBr6 (PBE, optimized geometry)" volume_a3_per_atom=42.8 total_energy_ev_per_cell=-30.78 e_form_raw_mev_per_atom=-1499 pbc="T T T"
Br -5.8434 -3.2633 0.1505
Sr -4.0194 -3.8648 -2.1636
Cs -6.5715 -7.4020 0.6286
Br -6.0411 -5.8087 -3.2518
Br -2.7413 -6.0805 -0.5802
Br -5.2976 -1.6492 -3.7470
Br -9.8407 -7.1354 -2.0413
Cs -9.1126 -2.9968 -2.5195
Br -1.9978 -1.9210 -1.0754
Tl 0.0000 0.0000 0.0000

---

Record 8
5
Lattice="6.0427 0.0000 0.0000 0.0000 5.8038 0.0000 0.0000 0.0000 6.0427" Properties=species:S:1:pos:R:3 comment="YCrIn2I (PBE, optimized geometry)" volume_a3_per_atom=42.4 de_polymorph_ev_per_atom=0.000 total_energy_ev_per_cell=-19.69 e_form_raw_mev_per_atom=684 pbc="T T T"
Y 0.0000 0.0000 0.0000
In 3.0213 0.0000 0.0000
In 0.0000 0.0000 3.0213
I 0.0000 2.9019 0.0000
Cr 3.0213 2.9019 3.0213

---

Record 9
4
Lattice="-2.7969 -5.0683 0.4747 2.5863 1.2875 -5.8312 2.5513 -1.4868 -0.7908" Properties=species:S:1:pos:R:3 comment="TlAgAs2 (PBE, optimized geometry)" volume_a3_per_atom=22.2 de_polymorph_ev_per_atom=0.198 total_energy_ev_per_cell=-13.21 pbc="T T T"
Tl -0.1053 -1.8904 -2.6783
As 2.5688 -0.0997 -3.3110
As 0.0000 0.0000 0.0000
Ag -0.1228 -3.2776 -0.1581

---

Record 10
12
Lattice="5.6668 0.0000 0.0000 0.0000 6.2658 0.5797 0.0000 -0.6200 7.4864" Properties=species:S:1:pos:R:3 comment="NiBiSe (PBE, optimized geometry)" volume_a3_per_atom=22.3 total_energy_ev_per_cell=-54.59 e_form_raw_mev_per_atom=-167 pbc="T T T"
Ni 0.2083 1.2750 1.2883
Se 1.9446 0.5152 2.7179
Se 0.8889 0.2052 6.4611
Bi 4.2790 1.9634 6.8434
Se 3.7223 5.1306 5.3481
Se 4.7780 5.4406 1.6049
Bi 4.2212 2.2734 3.1002
Bi 1.3878 3.6824 1.2227
Ni 3.0418 4.6808 3.0346
Ni 5.4585 4.3708 6.7778
Bi 1.4456 3.3724 4.9659
Ni 2.6251 0.9650 5.0315

---

Record 11
5
Lattice="4.2345 0.0000 0.0000 0.0000 4.2345 0.0000 -2.1173 -2.1173 5.4188" Properties=species:S:1:pos:R:3 comment="LiSmAlZn2 (PBE, optimized geometry)" volume_a3_per_atom=19.4 total_energy_ev_per_cell=-14.36 pbc="T T T"
Li 2.1173 0.0000 2.7094
Al 0.0000 2.1173 2.7094
Sm 0.0000 0.0000 0.0000
Zn 0.0000 0.0000 4.1820
Zn 2.1172 2.1172 1.2369

---

Record 12
8
Lattice="6.0440 0.0000 0.0000 0.0000 6.0440 0.0000 3.0220 3.0220 9.1438" Properties=species:S:1:pos:R:3 comment="BaNbPb2 (PBE, optimized geometry)" volume_a3_per_atom=41.8 total_energy_ev_per_cell=-35.79 pbc="T T T"
Ba 0.0000 0.0000 0.0000
Pb 3.5224 1.5110 2.2860
Pb 7.5550 6.5444 6.8579
Pb 4.5330 5.5436 6.8579
Ba 6.0440 3.0220 4.5719
Nb 3.0220 6.0440 4.5719
Nb 3.0220 3.0220 0.0000
Pb 2.5216 4.5330 2.2860

---

Record 13
11
Lattice="-1.4335 -0.0672 3.1664 -3.6774 -3.0895 -1.7286 0.9284 -5.0094 0.3159" Properties=species:S:1:pos:R:3 comment="NaTc2H8 (PBE, optimized geometry)" volume_a3_per_atom=7.4 total_energy_ev_per_cell=-47.93 pbc="T T T"
H -3.9978 -4.6137 0.0030
H -2.1997 -2.3252 2.7719
H -0.1847 -3.5525 1.7507
H -3.2096 -2.2916 0.4080
H -1.7155 -4.0663 0.0462
Tc -2.5768 -5.5134 0.6276
H -0.9730 -5.8746 1.3457
H -2.4670 -4.0999 1.7075
H -1.9828 -5.8410 -1.0183
Tc -1.6057 -2.6528 1.1261
Na 0.0000 0.0000 0.0000

---

Record 14
4
Lattice="-3.1157 1.5417 1.0142 -3.0676 -1.9240 -0.0345 -0.7358 -2.3746 7.8142" Properties=species:S:1:pos:R:3 comment="PaSeO2 (PBE, optimized geometry)" volume_a3_per_atom=22.5 de_polymorph_ev_per_atom=0.524 total_energy_ev_per_cell=-31.34 e_form_raw_mev_per_atom=-2111 pbc="T T T"
Se 0.0000 0.0000 0.0000
Pa -3.4596 -1.3785 4.3970
O -5.6538 -1.2802 3.9715
O -1.2653 -1.4767 4.8225

---

Record 15
4
Lattice="5.2579 0.0002 0.0014 2.7287 4.4945 -0.0014 -3.4936 -3.1353 2.3687" Properties=species:S:1:pos:R:3 comment="SiIrOs2 (PBE, optimized geometry)" volume_a3_per_atom=14.0 total_energy_ev_per_cell=-37.02 e_form_raw_mev_per_atom=-69 pbc="T T T"
Os 7.6916 4.3287 0.0000
Os 4.2883 2.4134 0.0000
Si 2.8788 -0.4438 1.1850
Ir 1.6142 1.8033 1.1837

---

Record 16
4
Lattice="-1.6992 3.3008 -3.9187 -4.8159 -0.7999 -2.3034 -4.0471 3.4462 0.9397" Properties=species:S:1:pos:R:3 comment="EuThSnAu (PBE, optimized geometry)" volume_a3_per_atom=27.8 total_energy_ev_per_cell=-27.25 pbc="T T T"
Th -5.2811 2.9735 -2.6412
Au -7.9216 4.4603 -3.9618
Sn -2.6405 1.4868 -1.3206
Eu 0.0000 0.0000 0.0000

---

Record 17
8
Lattice="4.1817 0.0000 0.0000 0.0000 7.2292 -0.1402 0.0000 2.5468 6.7759" Properties=species:S:1:pos:R:3 comment="Nd2HoTmAs4 (PBE, optimized geometry)" volume_a3_per_atom=25.8 total_energy_ev_per_cell=-49.23 pbc="T T T"
Ho 0.0000 4.8879 3.3179
Tm 2.0909 6.1614 6.7058
As 2.0909 5.9837 1.6089
As 0.0001 7.2568 5.0132
Nd 0.0000 2.5468 6.7759
As 4.1817 2.5192 1.6226
As 2.0909 3.7923 5.0269
Nd 2.0909 1.2734 3.3879

---

Record 18
5
Lattice="4.9481 -6.7963 1.0251 0.2056 -7.5874 3.7568 -3.6858 6.0439 -4.6487" Properties=species:S:1:pos:R:3 comment="NiHg4 (PBE, optimized geometry)" volume_a3_per_atom=24.5 de_polymorph_ev_per_atom=0.495 total_energy_ev_per_cell=-4.42 pbc="T T T"
Hg 1.9196 -3.9721 -0.6163
Hg 3.0233 -8.4379 2.8052
Ni 0.0000 0.0000 0.0000
Hg 2.1304 -5.9458 1.9767
Hg -0.4517 -4.3677 0.7495

---

Record 19
5
Lattice="5.2796 0.0000 0.0000 0.0000 5.2796 0.0000 0.0000 0.0000 5.2796" Properties=species:S:1:pos:R:3 comment="TaBi3P (PBE, optimized geometry)" volume_a3_per_atom=29.4 de_polymorph_ev_per_atom=0.302 total_energy_ev_per_cell=-22.80 pbc="T T T"
Bi 0.0000 2.6398 0.0000
Bi 0.0000 0.0000 2.6398
Ta 2.6398 2.6398 2.6398
Bi 2.6398 0.0000 0.0000
P 0.0000 0.0000 0.0000

---

Record 20
10
Lattice="7.2822 0.0000 0.0000 0.0000 7.2822 0.0000 0.0000 0.0000 4.4898" Properties=species:S:1:pos:R:3 comment="Y2ReSn2 (PBE, optimized geometry)" volume_a3_per_atom=23.8 total_energy_ev_per_cell=-69.47 pbc="T T T"
Y 6.0209 2.3798 2.2449
Sn 1.0151 2.6260 0.0000
Sn 6.2671 4.6562 0.0000
Y 1.2613 4.9024 2.2449
Re 3.6411 3.6411 0.0000
Sn 2.6260 6.2671 0.0000
Sn 4.6562 1.0151 0.0000
Re 0.0000 0.0000 0.0000
Y 4.9024 6.0209 2.2449
Y 2.3798 1.2613 2.2449

---

Record 21
4
Lattice="-1.8569 9.2354 -3.1897 -5.1591 8.4763 -0.6713 -1.5004 9.7827 0.9812" Properties=species:S:1:pos:R:3 comment="BaY2Pt (PBE, optimized geometry)" volume_a3_per_atom=37.2 de_polymorph_ev_per_atom=0.000 total_energy_ev_per_cell=-23.04 pbc="T T T"
Y -3.9657 12.8028 -1.3410
Ba -2.1291 6.8736 -0.7199
Y -0.2925 0.9444 -0.0989
Pt -6.3874 20.6209 -2.1598

---

Record 22
4
Lattice="3.4123 0.0000 0.0000 0.0000 3.4123 0.0000 0.0000 0.0000 7.0558" Properties=species:S:1:pos:R:3 comment="EuZrCu2 (PBE, optimized geometry)" volume_a3_per_atom=20.5 de_polymorph_ev_per_atom=0.000 total_energy_ev_per_cell=-27.29 pbc="T T T"
Eu 1.7061 1.7061 3.5279
Cu 0.0000 0.0000 5.6636
Cu 0.0000 0.0000 1.3922
Zr 1.7061 1.7061 0.0000

---

Record 23
6
Lattice="-1.3872 -0.4026 3.2035 0.5047 -3.4700 -0.2295 5.6295 2.5548 0.8195" Properties=species:S:1:pos:R:3 comment="ScZn2B2C (PBE, optimized geometry)" volume_a3_per_atom=11.8 total_energy_ev_per_cell=-31.84 pbc="T T T"
Sc 5.1883 0.6185 2.3065
Zn 2.8468 -1.4262 1.0380
B 1.3291 0.1701 0.5805
B 3.4179 -1.4879 3.2130
Zn 1.9003 0.1084 2.7555
C 0.0000 0.0000 0.0000

---

Record 24
4
Lattice="-1.4359 -2.6917 -1.2415 2.0280 0.5748 -3.5918 6.3762 -4.7139 2.8458" Properties=species:S:1:pos:R:3 comment="KZr2Os (PBE, optimized geometry)" volume_a3_per_atom=28.9 de_polymorph_ev_per_atom=0.208 total_energy_ev_per_cell=-27.92 pbc="T T T"
Zr 1.3161 -1.8126 -1.9614
Os 5.8115 -5.1360 0.0450
K 3.3830 -2.5011 1.5099
Zr 6.0221 -4.4521 2.6878

---

Record 25
4
Lattice="-3.5911 1.5424 3.6365 -5.0286 1.0933 -1.4201 3.6456 -3.8374 -0.6956" Properties=species:S:1:pos:R:3 comment="MnW2Cl (PBE, optimized geometry)" volume_a3_per_atom=16.1 de_polymorph_ev_per_atom=0.794 total_energy_ev_per_cell=-32.51 e_form_raw_mev_per_atom=1104 pbc="T T T"
W 0.0000 0.0000 0.0000
Mn -2.1277 -0.4885 2.0245
W -4.3099 1.3179 1.1082
Cl -2.8465 -0.7131 -0.5038

---

Record 26
5
Lattice="-0.4051 1.2756 -5.6069 -2.8443 -3.7551 -0.6488 -4.6017 3.2985 1.0829" Properties=species:S:1:pos:R:3 comment="In2SnMoBr (PBE, optimized geometry)" volume_a3_per_atom=31.6 de_polymorph_ev_per_atom=0.000 total_energy_ev_per_cell=-16.96 e_form_raw_mev_per_atom=1005 pbc="T T T"
Br 0.0000 0.0000 0.0000
Sn -3.9256 0.4095 -2.5864
In -0.2026 0.6378 -2.8034
Mo -1.4221 -1.8776 -0.3244
In -2.3009 1.6492 0.5415

---

Record 27
3
Lattice="-3.1087 -1.2231 0.2254 1.0384 -2.2185 2.2828 -0.6301 7.0463 4.6789" Properties=species:S:1:pos:R:3 comment="NaLiPm (PBE, optimized geometry)" volume_a3_per_atom=30.4 de_polymorph_ev_per_atom=0.048 total_energy_ev_per_cell=-7.45 pbc="T T T"
Li -1.5948 0.0688 3.2479
Na -0.0298 0.0954 0.1063
Pm -1.0758 3.4404 3.8328